1.
! CaSmSc2 | Alexandria | PBE-GGA | relaxed; values from VASP
&SYSTEM
  ibrav = 0, nat = 4, ntyp = 3
/
ATOMIC_SPECIES
Ca 40.08 Ca.upf
Sc 44.96 Sc.upf
Sm 150.36 Sm.upf
CELL_PARAMETERS angstrom
-1.595 -2.061 -2.310
0.438 -3.451 0.152
-9.421 -2.675 6.267
ATOMIC_POSITIONS angstrom
Ca 0.000 0.000 0.000
Sc -2.760 -2.058 1.116
Sm -5.289 -4.094 2.055
Sc -7.818 -6.130 2.993
! ΔE_f, meV per atom: 152.9
! Energy above the most stable polymorph in this dataset, eV/atom: 0.006
! V, Å³ per cell: 120.26

---

2.
! Sb2AsPb | Alexandria | PBE-GGA | relaxed; values from VASP
&SYSTEM
  ibrav = 0, nat = 4, ntyp = 3
/
ATOMIC_SPECIES
Pb 207.20 Pb.upf
Sb 121.76 Sb.upf
As 74.92 As.upf
CELL_PARAMETERS angstrom
-0.550 3.335 -4.284
-4.427 -0.466 0.205
-0.241 3.496 2.753
ATOMIC_POSITIONS angstrom
Pb -0.395 3.416 -0.765
Sb 0.000 0.000 0.000
As -2.489 1.434 -2.039
Sb -2.334 1.515 1.479
! Energy relative to the elements, uncorrected, kcal/mol of atoms: 5.85
! Energy above the most stable polymorph in this dataset, eV/atom: 0.229
! V, Å³ per cell: 108.38

---

3.
! LiTh2Sn2 | Alexandria | PBE-GGA | relaxed; values from VASP
&SYSTEM
  ibrav = 0, nat = 10, ntyp = 3
/
ATOMIC_SPECIES
Th 232.04 Th.upf
Sn 118.71 Sn.upf
Li 6.94 Li.upf
CELL_PARAMETERS angstrom
4.899 0.000 0.000
0.000 6.822 0.000
-2.449 0.000 8.541
ATOMIC_POSITIONS angstrom
Th 2.449 2.940 5.104
Sn 0.000 3.226 7.251
Th 2.449 4.979 8.458
Th 0.000 1.568 0.084
Li 2.449 3.708 1.751
Th 0.000 6.351 3.437
Sn 0.000 3.120 2.959
Sn 2.449 6.531 5.582
Sn 2.449 6.637 1.290
Li 0.000 0.297 6.791
! ΔE_f, meV per atom: -395.1
! V, Å³ per cell: 285.46

---

4.
! CeYBiSe | Alexandria | PBE-GGA | relaxed; values from VASP
&SYSTEM
  ibrav = 0, nat = 4, ntyp = 4
/
ATOMIC_SPECIES
Y 88.91 Y.upf
Se 78.96 Se.upf
Bi 208.98 Bi.upf
Ce 140.12 Ce.upf
CELL_PARAMETERS angstrom
-3.604 -2.184 0.539
2.473 -0.780 -3.365
5.310 -3.467 4.704
ATOMIC_POSITIONS angstrom
Y 4.972 -4.236 2.500
Se 2.466 -1.380 -2.684
Bi 1.956 -3.327 2.755
Ce -0.682 -3.571 0.873
! Energy relative to the elements, uncorrected, kcal/mol of atoms: -28.58
! V, Å³ per cell: 117.31

---

5.
! SmAl3Ru | Alexandria | PBE-GGA | relaxed; values from VASP
&SYSTEM
  ibrav = 0, nat = 5, ntyp = 3
/
ATOMIC_SPECIES
Sm 150.36 Sm.upf
Al 26.98 Al.upf
Ru 101.07 Ru.upf
CELL_PARAMETERS angstrom
-2.095 -3.916 1.490
4.029 -2.340 -0.485
1.150 1.064 4.415
ATOMIC_POSITIONS angstrom
Sm 1.542 -2.596 2.710
Al -1.048 -1.958 0.745
Al 2.015 -1.170 -0.243
Al 0.575 0.532 2.207
Ru 0.000 0.000 0.000
! ΔE_f, meV per atom: -421.5
! V, Å³ per cell: 102.81

---

6.
! LaTlMo2 | Alexandria | PBE-GGA | relaxed; values from VASP
&SYSTEM
  ibrav = 0, nat = 4, ntyp = 3
/
ATOMIC_SPECIES
Tl 204.38 Tl.upf
Mo 95.94 Mo.upf
La 138.91 La.upf
CELL_PARAMETERS angstrom
-0.983 4.856 0.180
-3.654 -0.869 3.236
4.584 -1.633 0.947
ATOMIC_POSITIONS angstrom
Tl -2.318 1.993 1.708
Mo 0.000 0.000 0.000
Mo -0.694 -0.255 2.945
La 0.641 2.608 1.418
! ΔE_f, meV per atom: 633.7
! Energy above the most stable polymorph in this dataset, eV/atom: 0.437
! V, Å³ per cell: 86.22

---

7.
! KTlSi2 | Alexandria | PBE-GGA | relaxed; values from VASP
&SYSTEM
  ibrav = 0, nat = 4, ntyp = 3
/
ATOMIC_SPECIES
Si 28.09 Si.upf
Tl 204.38 Tl.upf
K 39.10 K.upf
CELL_PARAMETERS angstrom
6.888 -0.006 -0.002
4.041 5.578 0.002
-5.110 -3.481 3.035
ATOMIC_POSITIONS angstrom
Si 0.601 0.306 0.000
Tl 5.374 2.740 0.000
K 4.040 -0.137 1.517
Si 1.267 1.967 1.518
! Energy relative to the elements, uncorrected, kcal/mol of atoms: 4.32
! Energy above the most stable polymorph in this dataset, eV/atom: 0.076
! V, Å³ per cell: 116.69

---

8.
! RbSr | Alexandria | PBE-GGA | relaxed; values from VASP
&SYSTEM
  ibrav = 0, nat = 16, ntyp = 2
/
ATOMIC_SPECIES
Sr 87.62 Sr.upf
Rb 85.47 Rb.upf
CELL_PARAMETERS angstrom
16.785 0.000 0.000
0.000 16.785 0.000
0.000 0.000 4.192
ATOMIC_POSITIONS angstrom
Sr 2.526 15.442 0.000
Rb 6.498 14.096 2.096
Rb 10.287 2.689 2.096
Sr 7.067 5.854 2.096
Sr 15.442 14.259 0.000
Rb 11.059 14.920 0.000
Sr 5.854 9.718 2.096
Rb 5.726 1.866 0.000
Rb 14.920 5.726 0.000
Sr 14.259 1.343 0.000
Rb 1.866 11.059 0.000
Sr 9.718 10.931 2.096
Sr 10.931 7.067 2.096
Sr 1.343 2.526 0.000
Rb 14.096 10.287 2.096
Rb 2.689 6.498 2.096
! ΔE_f, meV per atom: 257.1
! V, Å³ per cell: 1181.19

---

9.
! LiCeAu | Alexandria | PBE-GGA | relaxed; values from VASP
&SYSTEM
  ibrav = 0, nat = 3, ntyp = 3
/
ATOMIC_SPECIES
Li 6.94 Li.upf
Au 196.97 Au.upf
Ce 140.12 Ce.upf
CELL_PARAMETERS angstrom
3.607 0.000 0.000
0.000 3.607 0.000
-1.803 -1.803 5.080
ATOMIC_POSITIONS angstrom
Li 0.000 0.000 3.189
Au 1.803 1.803 4.351
Ce 1.803 1.803 1.095
! ΔE_f, meV per atom: -342.3
! Energy above the most stable polymorph in this dataset, eV/atom: 0.116
! V, Å³ per cell: 66.07

---

10.
! LaY2Co | Alexandria | PBE-GGA | relaxed; values from VASP
&SYSTEM
  ibrav = 0, nat = 4, ntyp = 3
/
ATOMIC_SPECIES
Y 88.91 Y.upf
Co 58.93 Co.upf
La 138.91 La.upf
CELL_PARAMETERS angstrom
-1.393 2.501 -5.500
-5.624 2.440 -0.932
4.542 0.292 4.211
ATOMIC_POSITIONS angstrom
Y 0.000 0.000 0.000
Co -2.295 2.602 0.031
Y -3.508 2.471 -3.216
La -0.180 2.632 -2.253
! ΔE_f, meV per atom: 326.6
! Energy above the most stable polymorph in this dataset, eV/atom: 0.471
! V, Å³ per cell: 103.94

---

11.
! KAs2W | Alexandria | PBE-GGA | relaxed; values from VASP
&SYSTEM
  ibrav = 0, nat = 4, ntyp = 3
/
ATOMIC_SPECIES
K 39.10 K.upf
As 74.92 As.upf
W 183.84 W.upf
CELL_PARAMETERS angstrom
-0.935 -4.111 3.386
5.149 -1.562 -0.534
1.192 0.912 2.442
ATOMIC_POSITIONS angstrom
K 0.128 -1.600 2.914
As 2.107 -2.836 1.426
As 0.000 0.000 0.000
W 3.170 -0.325 0.954
! ΔE_f, meV per atom: 691.2
! Energy above the most stable polymorph in this dataset, eV/atom: 0.782
! V, Å³ per cell: 79.62

---

12.
! Sm4PdPt3 | Alexandria | PBE-GGA | relaxed; values from VASP
&SYSTEM
  ibrav = 0, nat = 8, ntyp = 3
/
ATOMIC_SPECIES
Sm 150.36 Sm.upf
Pt 195.08 Pt.upf
Pd 106.42 Pd.upf
CELL_PARAMETERS angstrom
-0.823 -3.679 0.770
1.634 0.520 4.229
-9.779 2.903 3.422
ATOMIC_POSITIONS angstrom
Sm -3.166 -0.520 3.749
Sm -6.647 0.011 2.567
Pt -9.355 0.815 3.515
Sm -1.338 0.397 0.468
Sm -7.598 2.758 5.059
Pt -4.933 1.967 4.127
Pt -4.017 1.192 1.406
Pd -0.438 -1.329 2.795
! ΔE_f, meV per atom: -1118.1
! V, Å³ per cell: 188.94

---

Number 1: energy -4.693 eV per atom. Number 2: energy -3.897 eV per atom. Number 3: energy -5.347 eV per atom. Number 4: energy -6.180 eV per atom. Number 5: energy -5.466 eV per atom. Number 6: energy -6.605 eV per atom. Number 7: energy -3.390 eV per atom. Number 8: energy -1.068 eV per atom. Number 9: energy -4.051 eV per atom. Number 10: energy -5.914 eV per atom. Number 11: energy -5.146 eV per atom. Number 12: energy -6.392 eV per atom.